## SbBr2Cl (GGA-PBE)

Data for crystalline SbBr2Cl at its relaxed geometry.

Unit cell a=3.641 b=5.089 c=15.025 alpha=90.00 beta=90.00 gamma=90.00
Space group Immm (No. 71)
Unique sites:
Sb: 0.000 0.000 0.000 (multiplicity 2)
Br: 0.000 0.500 0.354 (multiplicity 4)
Cl: 0.000 0.000 0.500 (multiplicity 2)

Computed properties:
Volume = 34.80 A^3/atom
Raw formation energy = -1.62 eV per formula unit
Total magnetic moment = 0.000 μB/atom
Density = 3.78 g/cm³